[1]
VASP calculation (PBE) on a relaxed structure of HoPuSn.

Cell and atoms, written as POSCAR:
```
HoPuSn
1.0
-2.356 1.994 0.835
-1.031 -2.121 2.159
6.899 3.684 4.548
Pu Ho Sn
1 1 1
Cartesian
2.980 3.187 6.923
1.384 0.963 1.607
1.099 1.878 4.739
```

Results
* N(E_F): 7.5 states/eV/cell
* offset from the most stable computed form: 65.1 kJ/mol of atoms
* formation energy from the elements: 19.5 kJ/mol of atoms

***

[2]
VASP calculation (PBE) on a relaxed structure of NiAg4Ir.

Cell and atoms, written as POSCAR:
```
NiAg4Ir
1.0
2.572 3.644 2.833
-2.457 2.484 3.964
1.360 -1.018 5.003
Ir Ag Ni
1 4 1
Cartesian
0.369 1.277 2.950
0.922 3.193 7.374
0.242 3.702 4.874
-0.364 1.372 5.958
2.150 1.952 5.393
0.000 0.000 0.000
```

Results
* N(E_F): 9.0 states/eV/cell
* formation energy from the elements: 70.9 kJ/mol of atoms

***

[3]
VASP calculation (PBE) on a relaxed structure of Ce3Tl2Hg.

Cell and atoms, written as POSCAR:
```
Ce3Tl2Hg
1.0
-0.719 0.300 3.368
-3.344 -0.569 -0.663
2.014 -13.766 1.655
Hg Tl Ce
1 2 3
Cartesian
-1.024 -7.018 2.180
-0.359 -11.565 2.726
-1.690 -2.471 1.633
1.331 -9.093 1.093
0.000 0.000 0.000
0.684 -4.673 0.562
```

Results
* N(E_F): 19.0 states/eV/cell
* formation energy from the elements: -25.1 kJ/mol of atoms

***

[4]
VASP calculation (PBE) on a relaxed structure of RbSnC2Se.

Cell and atoms, written as POSCAR:
```
RbSnC2Se
1.0
4.862 0.000 0.000
0.000 10.589 0.000
0.000 0.000 4.862
C Se Sn Rb
2 1 1 1
Cartesian
0.000 0.000 2.431
2.431 0.000 0.000
2.431 5.294 2.431
0.000 5.294 0.000
0.000 0.000 0.000
```

Results
* N(E_F): 2.2 states/eV/cell
* offset from the most stable computed form: 72.1 kJ/mol of atoms
* formation energy from raw total energies: 14.66 eV/f.u.

***

[5]
VASP calculation (PBE) on a relaxed structure of RbInTe3.

Cell and atoms, written as POSCAR:
```
RbInTe3
1.0
5.840 0.000 0.000
0.000 5.840 0.000
0.000 0.000 5.840
Te In Rb
3 1 1
Cartesian
0.000 0.000 2.920
2.920 0.000 0.000
0.000 2.920 0.000
0.000 0.000 0.000
2.920 2.920 2.920
```

Results
* N(E_F): 6.3 states/eV/cell
* offset from the most stable computed form: 10.0 kJ/mol of atoms
* formation energy from raw total energies: -0.94 eV/f.u.

***

[6]
VASP calculation (PBE) on a relaxed structure of Tc3Sb5.

Cell and atoms, written as POSCAR:
```
Tc3Sb5
1.0
7.990 0.000 0.000
-3.995 6.919 0.000
0.000 0.000 5.996
Sb Tc
10 6
Cartesian
0.000 4.613 0.000
1.021 1.768 4.497
-2.974 5.151 4.497
2.042 0.000 1.499
2.974 5.151 1.499
3.995 2.306 0.000
0.000 4.613 2.998
3.995 2.306 2.998
-1.021 1.768 1.499
5.948 0.000 4.497
2.365 4.096 4.497
4.729 0.000 1.499
1.630 2.823 1.499
-2.365 4.096 1.499
-1.630 2.823 4.497
3.260 0.000 4.497
```

Results
* N(E_F): 14.2 states/eV/cell
* offset from the most stable computed form: 11.0 kJ/mol of atoms
* formation energy from raw total energies: 3.00 eV/f.u.

***

[7]
VASP calculation (PBE) on a relaxed structure of KCoAs2Se.

Cell and atoms, written as POSCAR:
```
KCoAs2Se
1.0
5.445 0.000 0.000
0.000 5.445 0.000
0.000 0.000 5.496
Co As K Se
1 2 1 1
Cartesian
2.723 2.723 2.748
0.000 2.723 0.000
2.723 0.000 0.000
0.000 0.000 0.000
0.000 0.000 2.748
```

Results
* N(E_F): 5.8 states/eV/cell
* offset from the most stable computed form: 185.7 kJ/mol of atoms
* formation energy from raw total energies: 9.39 eV/f.u.

***

[8]
VASP calculation (PBE) on a relaxed structure of Ba2FeMo.

Cell and atoms, written as POSCAR:
```
Ba2FeMo
1.0
5.393 -0.002 0.003
4.435 3.068 0.003
0.568 0.177 6.695
Ba Fe Mo
2 1 1
Cartesian
5.221 1.629 3.331
9.806 3.060 0.026
2.599 0.811 1.675
7.797 2.433 5.026
```

Results
* N(E_F): 5.5 states/eV/cell
* offset from the most stable computed form: 73.5 kJ/mol of atoms
* formation energy from the elements: 139.3 kJ/mol of atoms

***

| no. | volume (A^3/atom) |
| --- | --- |
| 1 | 29.9 |
| 2 | 17.4 |
| 3 | 27.9 |
| 4 | 50.1 |
| 5 | 39.8 |
| 6 | 20.7 |
| 7 | 32.6 |
| 8 | 27.7 |